Density functional theory data (PBE) for an optimized crystal structure of YTmTlSe.

Fermi-level density of states: 2.5 states/eV/f.u.
ΔE_f (raw): -0.9697 eV per atom
calculated total energy: -20.665 eV for the cell shown

a b c (Å): 3.8117 3.8117 8.3959
angles (deg): 89.99 89.99 59.99
Closest atoms and distances in Å follow each position.
Element x y z (fractional)
Tl  0.8681  0.8681  0.3088  3 Tm 3.22, 3 Y 3.26
Y  0.5348  0.5348  0.5956  3 Se 2.87
Tm  0.2013  0.2014  0.0289  3 Se 2.84
Se  0.8681  0.8681  0.8156  3 Tm 2.84, 3 Y 2.87